Here is Li2FeMoO6 after structural relaxation from Alexandria. Energies are from GGA+U.

Computed properties:
Density of states at the Fermi level, states/eV/cell: 12.49
Crystal system: trigonal
Final energy, eV per atom: -6.200

Lattice parameters (Å, degrees): 5.0973 5.0973 13.8328 90.00 90.00 120.00
Space group R3 (No. 146, hexagonal axes)
Asymmetric unit:
Li  0.0000  0.0000  0.0000 (multiplicity 3)
Li  0.0000  0.0000  0.4926 (multiplicity 3)
Fe  0.0000  0.0000  0.7109 (multiplicity 3)
Mo  0.0000  0.0000  0.2119 (multiplicity 3)
O  0.0434  0.3370  0.2755 (multiplicity 9)
O  0.0554  0.7030  0.7768 (multiplicity 9)